Record 1
SCAN HgPtSe2, PBEsol geometry; energy relative to the lowest polymorph listed for this composition = 390 meV per atom; E_form (uncorrected) = 0.051 eV per atom
1.0
-0.9402 -0.9882 2.4570
-2.7857 -1.6489 -1.7292
4.7975 -5.8693 -2.1320
Hg Se Pt
1 2 1
Cartesian
1.5138 -3.5597 0.9556 Hg
1.2908 -6.1042 -0.1534 Se
0.1067 -0.3046 0.1185 Se
-0.3813 -2.4606 -0.9340 Pt



Record 2
SCAN CaHfCrF2, PBEsol geometry; E_form (uncorrected) = -1.177 eV per atom
1.0
4.0907 0.0000 0.0000
0.0000 4.0907 0.0000
0.0000 0.0000 6.6145
F Ca Hf Cr
2 1 1 1
Cartesian
0.0000 2.0453 0.0000 F
2.0453 0.0000 0.0000 F
0.0000 0.0000 0.0000 Ca
2.0453 2.0453 3.3072 Hf
0.0000 0.0000 3.3072 Cr



Record 3
SCAN Sr3GaNi, PBEsol geometry; calculated formation energy = 0.5 eV/f.u.
1.0
-5.0150 0.5750 2.3236
1.8059 -2.6317 4.5489
1.5711 4.8604 2.1882
Ni Sr Ga
1 3 1
Cartesian
0.0000 0.0000 0.0000 Ni
-2.5075 0.2875 1.1618 Sr
0.9030 -1.3158 2.2745 Sr
0.7856 2.4302 1.0941 Sr
-0.8190 1.4019 4.5303 Ga



Record 4
SCAN Al2FeC, PBEsol geometry; calculated formation energy = 1.3 eV/f.u.
1.0
-2.6822 -2.3913 -0.7527
2.2139 -5.0028 -0.9495
-1.7483 -2.3432 4.7206
Fe Al C
2 4 2
Cartesian
-1.7788 -5.4664 1.3210 Fe
0.0000 0.0000 0.0000 Fe
-0.4413 -3.0340 0.0193 Al
0.5735 -5.7949 0.6973 Al
-2.4458 -7.3011 2.8109 Al
-2.1195 -3.3445 2.5092 Al
-1.3411 -1.1956 -0.3763 C
-0.4377 -4.2708 1.6974 C



What is the formula in the fourth record? Al2FeC